VASP calculation (PBE) on a relaxed structure of GeB2F.

As for the size of the total moment: 0.000 μB per atom. The value obtained for the electronic total energy is -62.68 eV per cell. The value obtained for the excess energy over the best structure of this formula in the dataset is 35.8 kJ/mol of atoms.

The structure belongs to space group Fm-3m (No. 225); the cell edges are 5.502, 5.502 and 5.502 Å and the angles 90.00°, 90.00° and 90.00°. Symmetry generates all atoms from Ge at (0.000, 0.000, 0.000), B at (0.250, 0.250, 0.250) and F at (0.000, 0.000, 0.500).

---

VASP calculation (PBE) on a relaxed structure of GeBF.

As for the size of the total moment: 0.000 μB per atom. The value obtained for the electronic total energy is -30.95 eV per cell.

The structure belongs to space group P-1 (No. 2); the cell edges are 2.914, 5.369 and 6.603 Å and the angles 71.00°, 89.52° and 75.40°. Symmetry generates all atoms from Ge at (0.123, 0.266, 0.478), B at (0.309, 0.871, 0.720) and F at (0.342, 0.791, 0.934).

---

VASP calculation (PBE) on a relaxed structure of GeB2F2.

As for the size of the total moment: 0.000 μB per atom. The value obtained for the electronic total energy is -44.70 eV per cell. The value obtained for the excess energy over the best structure of this formula in the dataset is 0.0 kJ/mol of atoms.

The structure belongs to space group I4/mmm (No. 139); the cell edges are 2.708, 2.708 and 19.236 Å and the angles 90.00°, 90.00° and 90.00°. Symmetry generates all atoms from Ge at (0.000, 0.000, 0.000), B at (0.000, 0.500, 0.250) and F at (0.000, 0.000, 0.431).

---

VASP calculation (PBE) on a relaxed structure of GeB3F.

As for the size of the total moment: 0.000 μB per atom. The value obtained for the electronic total energy is -18.10 eV per cell. The value obtained for the excess energy over the best structure of this formula in the dataset is 0.0 kJ/mol of atoms.

The structure belongs to space group Pm-3m (No. 221); the cell edges are 4.178, 4.178 and 4.178 Å and the angles 90.00°, 90.00° and 90.00°. Symmetry generates all atoms from Ge at (0.000, 0.000, 0.000), B at (0.000, 0.000, 0.500) and F at (0.500, 0.500, 0.500).

---

VASP calculation (PBE) on a relaxed structure of GeB3F.

As for the size of the total moment: 0.000 μB per atom. The value obtained for the electronic total energy is -17.23 eV per cell. The value obtained for the excess energy over the best structure of this formula in the dataset is 16.8 kJ/mol of atoms.

The structure belongs to space group Pm-3m (No. 221); the cell edges are 3.877, 3.877 and 3.877 Å and the angles 90.00°, 90.00° and 90.00°. Symmetry generates all atoms from Ge at (0.000, 0.000, 0.000), B at (0.000, 0.500, 0.500) and F at (0.500, 0.500, 0.500).